Record 1
Density functional theory data (GGA-PBE) for a relaxed CdTcCl crystal.

The value obtained for the density of states at the Fermi level is 3.09 states/eV/f.u. The calculation puts the energy at -3.9788 eV/atom. The value obtained for the energy above the most stable polymorph in this dataset is 0.198 eV per atom. The spin magnetization is 0.59 μB per atom. For the volume, the calculation gives 117.63 Å³/cell. As for the raw formation energy: 0.397 eV/atom.

Unit cell a=3.0555 b=3.0555 c=12.6001 alpha=90.00 beta=90.00 gamma=90.00
Last column: nearest neighbours and their distance in Å.
Space group I4mm (No. 107)
Inequivalent atoms, fractional coordinates:
Cd1 0.0000 0.0000 0.0000 x2  4 Tc 2.88, 4 Cd 3.06
Tc1 0.0000 0.0000 0.6508 x2  4 Cl 2.67, 4 Cd 2.88
Cl1 0.0000 0.0000 0.2752 x2  4 Tc 2.67

---

Record 2
Density functional theory data (GGA-PBE) for a relaxed CdTcCl3 crystal.

The value obtained for the density of states at the Fermi level is 9.32 states/eV/f.u. The calculation puts the energy at -3.1340 eV/atom. The value obtained for the energy above the most stable polymorph in this dataset is 0.405 eV per atom. The spin magnetization is 1.03 μB per atom. For the volume, the calculation gives 139.15 Å³/cell. As for the raw formation energy: 0.230 eV/atom.

Unit cell a=5.1820 b=5.1820 c=5.1820 alpha=90.00 beta=90.00 gamma=90.00
Last column: nearest neighbours and their distance in Å.
Space group Pm-3m (No. 221)
Inequivalent atoms, fractional coordinates:
Cd1 0.0000 0.0000 0.0000 x1  6 Cl 2.59
Tc1 0.5000 0.5000 0.5000 x1  12 Cl 3.66
Cl1 0.0000 0.0000 0.5000 x3  2 Cd 2.59

---

Record 3
Density functional theory data (GGA-PBE) for a relaxed CdTcCl crystal.

The value obtained for the density of states at the Fermi level is 2.58 states/eV/f.u. The calculation puts the energy at -3.4852 eV/atom. The value obtained for the energy above the most stable polymorph in this dataset is 0.692 eV per atom. The spin magnetization is 1.03 μB per atom. For the volume, the calculation gives 274.39 Å³/cell. As for the raw formation energy: 0.891 eV/atom.

Unit cell a=6.4981 b=6.4981 c=6.4981 alpha=90.00 beta=90.00 gamma=90.00
Last column: nearest neighbours and their distance in Å.
Space group F-43m (No. 216)
Inequivalent atoms, fractional coordinates:
Cd1 0.0000 0.0000 0.0000 x4  4 Tc 2.81
Tc1 0.2500 0.2500 0.7500 x4  4 Cd 2.81, 4 Cl 2.81
Cl1 0.0000 0.0000 0.5000 x4  4 Tc 2.81

---

Record 4
Density functional theory data (GGA-PBE) for a relaxed CdTcCl3 crystal.

The value obtained for the density of states at the Fermi level is 2.45 states/eV/f.u. The calculation puts the energy at -3.5391 eV/atom. The value obtained for the energy above the most stable polymorph in this dataset is 0.000 eV per atom. The spin magnetization is 0.56 μB per atom. For the volume, the calculation gives 122.01 Å³/cell. As for the raw formation energy: -0.175 eV/atom.

Unit cell a=4.9598 b=4.9598 c=4.9598 alpha=90.00 beta=90.00 gamma=90.00
Last column: nearest neighbours and their distance in Å.
Space group Pm-3m (No. 221)
Inequivalent atoms, fractional coordinates:
Cd1 0.0000 0.0000 0.0000 x1  12 Cl 3.51
Tc1 0.5000 0.5000 0.5000 x1  6 Cl 2.48
Cl1 0.0000 0.5000 0.5000 x3  2 Tc 2.48

---

Record 5
Density functional theory data (GGA-PBE) for a relaxed CdTcCl crystal.

The value obtained for the density of states at the Fermi level is 2.60 states/eV/f.u. The calculation puts the energy at -4.0606 eV/atom. The value obtained for the energy above the most stable polymorph in this dataset is 0.117 eV per atom. The spin magnetization is 0.08 μB per atom. For the volume, the calculation gives 253.47 Å³/cell. As for the raw formation energy: 0.315 eV/atom.

Unit cell a=2.9519 b=5.2833 c=16.2523 alpha=90.00 beta=90.00 gamma=90.00
Last column: nearest neighbours and their distance in Å.
Space group Fmm2 (No. 42)
Inequivalent atoms, fractional coordinates:
Cd1 0.0000 0.0000 0.0000 x4  2 Tc 2.87, 6 Cd 2.95-3.03
Tc1 0.0000 0.0000 0.6514 x4  2 Cl 2.35
Cl1 0.0000 0.0000 0.2642 x4  2 Tc 2.35

---

Record 6
Density functional theory data (GGA-PBE) for a relaxed CdTc4Cl crystal.

The value obtained for the density of states at the Fermi level is 5.20 states/eV/f.u. The calculation puts the energy at -6.4867 eV/atom. The spin magnetization is 0.00 μB per atom. For the volume, the calculation gives 409.72 Å³/cell. As for the raw formation energy: 0.884 eV/atom.

Unit cell a=7.4273 b=7.4273 c=7.4273 alpha=90.00 beta=90.00 gamma=90.00
Last column: nearest neighbours and their distance in Å.
Space group F-43m (No. 216)
Inequivalent atoms, fractional coordinates:
Cd1 0.0000 0.0000 0.0000 x4  12 Tc 3.08, 4 Cl 3.22
Tc1 0.1237 0.1237 0.3763 x16  6 Tc 2.60-2.65
Cl1 0.2500 0.2500 0.7500 x4  12 Tc 3.08, 4 Cd 3.22